No. 1
TbEr3Os | Alexandria via LeMat-Bulk | GGA-PBE | relaxed; size of the total moment = 0.0 μB/f.u.; energy of formation from the pure elements = -0.7 eV per formula unit; ΔE to the lowest computed polymorph = 0.000 eV/atom; uncorrected energy = -6.04 eV/atom; Fermi-level density of states = 0.945 states/eV per atom; crystal system = monoclinic
1.0
7.714 0.000 0.000
0.000 7.123 0.341
0.000 -1.867 10.146
Tb Er Os
4 12 4
Cartesian
7.563 4.662 2.700
0.151 0.594 7.787
3.706 1.528 2.714
4.008 3.729 7.773
1.161 -0.064 4.381
6.553 5.320 6.106
5.018 6.254 1.033
2.696 -0.997 9.454
3.845 5.038 3.850
3.869 0.219 6.636
7.702 1.152 1.564
0.012 4.104 8.923
1.517 3.217 5.573
6.197 2.039 4.913
5.374 1.106 9.986
2.340 4.151 0.500
1.667 5.541 7.082
6.047 -0.285 3.405
5.524 -1.218 8.478
2.190 6.475 2.009

No. 2
TbErOs | Alexandria via LeMat-Bulk | GGA-PBE | relaxed; size of the total moment = 0.0 μB/f.u.; energy of formation from the pure elements = -0.7 eV per formula unit; ΔE to the lowest computed polymorph = 0.025 eV/atom; uncorrected energy = -7.03 eV/atom; Fermi-level density of states = 0.541 states/eV per atom; crystal system = cubic
1.0
4.768 0.000 0.000
2.384 4.129 0.000
2.384 1.376 3.893
Tb Os Er
1 1 1
Cartesian
4.768 2.753 1.946
2.384 1.376 0.973
0.000 0.000 0.000

No. 3
Tb4ErOs2 | Alexandria via LeMat-Bulk | GGA-PBE | relaxed; size of the total moment = 0.0 μB/f.u.; energy of formation from the pure elements = -1.0 eV per formula unit; uncorrected energy = -6.66 eV/atom; Fermi-level density of states = 0.929 states/eV per atom; crystal system = monoclinic
1.0
-5.968 -1.932 -0.574
1.844 -6.767 3.606
-2.284 5.546 5.075
Tb Er Os
8 2 4
Cartesian
-3.963 0.423 5.083
-1.778 -0.351 2.388
-4.630 -2.803 5.718
-6.925 -0.536 4.798
-5.301 0.505 1.564
0.517 -2.617 3.309
-2.445 -3.576 3.023
-1.107 -3.658 6.542
-2.157 -0.793 7.807
-4.251 -2.360 0.299
-3.257 3.226 5.718
-3.151 -6.379 2.388
-4.722 -1.715 3.021
-1.686 -1.438 5.085

No. 4
Tb2ErOs | Alexandria via LeMat-Bulk | GGA-PBE | relaxed; size of the total moment = 0.4 μB/f.u.; energy of formation from the pure elements = 1.2 eV per formula unit; ΔE to the lowest computed polymorph = 0.549 eV/atom; uncorrected energy = -5.97 eV/atom; Fermi-level density of states = 1.587 states/eV per atom; crystal system = trigonal
1.0
-2.087 2.476 -1.188
-2.743 0.977 1.849
4.414 8.623 5.211
Tb Os Er
2 1 1
Cartesian
2.517 6.270 3.640
-2.934 5.806 2.233
-0.208 6.038 2.936
0.000 0.000 0.000

No. 5
TbEr6Os2 | Alexandria via LeMat-Bulk | GGA-PBE | relaxed; size of the total moment = 0.0 μB/f.u.; energy of formation from the pure elements = -1.3 eV per formula unit; uncorrected energy = -6.20 eV/atom; Fermi-level density of states = 0.879 states/eV per atom; crystal system = monoclinic
1.0
-1.652 3.555 -0.470
-4.415 0.973 6.287
4.959 5.139 4.857
Tb Er Os
1 6 2
Cartesian
0.272 3.056 5.572
3.251 4.363 4.991
-1.412 1.874 2.553
0.304 7.793 8.121
-1.397 4.760 7.743
0.289 4.907 2.931
-4.359 5.304 5.683
1.117 5.741 6.329
-2.224 3.926 4.345

No. 6
TbErZnOs | Alexandria via LeMat-Bulk | GGA-PBE | relaxed; size of the total moment = 0.0 μB/f.u.; energy of formation from the pure elements = -1.1 eV per formula unit; uncorrected energy = -5.71 eV/atom; Fermi-level density of states = 0.735 states/eV per atom; crystal system = cubic
1.0
-0.819 3.273 3.549
-2.091 -1.411 4.197
2.639 -0.146 4.122
Tb Zn Os Er
1 1 1 1
Cartesian
-0.203 1.286 8.901
0.000 0.000 0.000
-0.135 0.858 5.934
-0.068 0.429 2.967

No. 7
Er2TcOs3 | Alexandria via LeMat-Bulk | GGA-PBE | relaxed; size of the total moment = 0.0 μB/f.u.; energy of formation from the pure elements = -1.9 eV per formula unit; uncorrected energy = -9.19 eV/atom; Fermi-level density of states = 1.174 states/eV per atom; crystal system = hexagonal
1.0
-0.610 -5.306 0.559
1.403 3.002 4.226
-8.336 1.162 1.943
Er Tc Os
4 2 6
Cartesian
-3.554 -2.033 2.624
-3.989 0.891 4.104
-7.051 1.318 4.817
-0.491 -2.460 1.910
-4.168 0.581 0.971
0.000 0.000 0.000
-1.704 0.411 2.045
-6.220 -0.445 2.382
-5.839 -1.553 4.683
-1.029 1.854 4.077
-6.514 -2.996 2.651
-1.322 -0.697 4.346

No. 8
ErTcOs | Alexandria via LeMat-Bulk | GGA-PBE | relaxed; size of the total moment = 0.0 μB/f.u.; energy of formation from the pure elements = -0.6 eV per formula unit; ΔE to the lowest computed polymorph = 0.100 eV/atom; uncorrected energy = -8.92 eV/atom; Fermi-level density of states = 0.705 states/eV per atom; crystal system = monoclinic
1.0
4.370 0.000 0.000
2.185 5.185 -0.488
2.185 0.776 4.995
Os Tc Er
2 2 2
Cartesian
2.185 1.266 0.395
6.554 4.695 4.112
4.370 2.408 1.055
4.370 3.553 3.452
6.554 4.471 1.170
2.185 1.490 3.336

- The lowest energy of formation from the pure elements belongs to which entry?
  Er2TcOs3

- Number 4 is which compound?
  Tb2ErOs

- Among the records above, which one has the lowest uncorrected energy?
  Er2TcOs3

- Among the records above, which one has the highest Fermi-level density of states?
  Tb2ErOs